VASP calculation (PBE) on crystalline Ce2S2F at its relaxed geometry.

a = 3.959 Å, b = 6.867 Å, c = 8.244 Å
α = 90.00°, β = 103.90°, γ = 90.00°
Atoms (fractional coordinates):
1 S 0.198 0.901 0.396
2 S 0.965 0.737 0.930
3 S 0.802 0.401 0.604
4 S 0.035 0.237 0.070
5 F 0.398 0.080 0.796
6 F 0.602 0.580 0.204
7 Ce 0.820 0.976 0.641
8 Ce 0.564 0.940 0.128
9 Ce 0.436 0.440 0.872
10 Ce 0.180 0.476 0.359

Output
ΔE_f (raw): -2.4493 eV/atom
space group: Cmc2_1 (36)
spin magnetization: 0.52 μB per atom